Entry 1:
An optimized crystal structure of RbCuWAu2, computed with PBE-GGA.

Computed properties:
Total moment, μB/f.u.: 3.60
E_form, kJ per mole of atoms: 98.1
DOS at the Fermi energy, states/eV per cell: 2.22
Energy, eV per atom: -3.897

Cell lengths 5.0758, 5.0758, 4.7990 Å; angles 90.00, 90.00, 90.00 degrees
Last column: nearest neighbours and their distance in Å.
Sites, in units of the cell vectors:
Rb (0.0000, 0.0000, 0.0000)  8 Au 3.49, 4 W 3.59
Cu (0.5000, 0.5000, 0.5000)  2 W 2.40, 4 Au 2.54
W (0.5000, 0.5000, 0.0000)  2 Cu 2.40
Au (0.0000, 0.5000, 0.5000)  2 Cu 2.54
Au (0.5000, 0.0000, 0.5000)  2 Cu 2.54



Entry 2:
An optimized crystal structure of K3CO4, computed with PBE-GGA.

Computed properties:
Total moment, μB/f.u.: 1.01
Uncorrected formation energy, eV/atom: -1.379
DOS at the Fermi energy, states/eV per cell: 32.01
Energy, eV per atom: -5.422
ΔE to the lowest computed polymorph, meV/atom: 0.0

Cell lengths 7.5780, 9.1066, 7.3130 Å; angles 90.00, 90.00, 90.00 degrees
Last column: nearest neighbours and their distance in Å.
Sites, in units of the cell vectors:
K (0.0248, 0.0421, 0.2272)  7 O 2.70-2.96
K (0.0248, 0.4579, 0.2272)  7 O 2.70-2.96
K (0.1969, 0.7500, 0.4123)  5 O 2.69-2.97
K (0.3031, 0.2500, 0.9123)  5 O 2.69-2.97
K (0.4752, 0.5421, 0.7272)  7 O 2.70-2.96
K (0.4752, 0.9579, 0.7272)  7 O 2.70-2.96
K (0.5248, 0.0421, 0.2728)  7 O 2.70-2.96
K (0.5248, 0.4579, 0.2728)  7 O 2.70-2.96
K (0.6969, 0.7500, 0.0877)  5 O 2.69-2.97
K (0.8031, 0.2500, 0.5877)  5 O 2.69-2.97
K (0.9752, 0.5421, 0.7728)  7 O 2.70-2.96
K (0.9752, 0.9579, 0.7728)  7 O 2.70-2.96
C (0.2265, 0.7500, 0.9895)  4 O 1.40-1.41
C (0.2735, 0.2500, 0.4895)  4 O 1.40-1.41
C (0.7265, 0.7500, 0.5105)  4 O 1.40-1.41
C (0.7735, 0.2500, 0.0105)  4 O 1.40-1.41
O (0.0504, 0.7500, 0.0511)  1 C 1.41
O (0.1865, 0.1247, 0.5574)  1 C 1.41
O (0.1865, 0.3753, 0.5574)  1 C 1.41
O (0.2285, 0.7500, 0.7977)  1 C 1.40
O (0.2715, 0.2500, 0.2977)  1 C 1.40
O (0.3135, 0.6247, 0.0574)  1 C 1.41
O (0.3135, 0.8753, 0.0574)  1 C 1.41
O (0.4496, 0.2500, 0.5511)  1 C 1.41
O (0.5504, 0.7500, 0.4489)  1 C 1.41
O (0.6865, 0.1247, 0.9426)  1 C 1.41
O (0.6865, 0.3753, 0.9426)  1 C 1.41
O (0.7285, 0.7500, 0.7023)  1 C 1.40
O (0.7715, 0.2500, 0.2023)  1 C 1.40
O (0.8135, 0.6247, 0.4426)  1 C 1.41
O (0.8135, 0.8753, 0.4426)  1 C 1.41
O (0.9496, 0.2500, 0.9489)  1 C 1.41



Entry 3:
An optimized crystal structure of VP3Pd, computed with PBE-GGA.

Computed properties:
Total moment, μB/f.u.: 2.24
E_form, kJ per mole of atoms: 90.1
DOS at the Fermi energy, states/eV per cell: 5.33
Energy, eV per atom: -5.175
ΔE to the lowest computed polymorph, meV/atom: 562.9

Cell lengths 4.6354, 4.6354, 4.6354 Å; angles 90.00, 90.00, 90.00 degrees
Last column: nearest neighbours and their distance in Å.
Sites, in units of the cell vectors:
V (0.0000, 0.0000, 0.0000)  12 P 3.28
P (0.0000, 0.5000, 0.5000)  2 Pd 2.32
P (0.5000, 0.0000, 0.5000)  2 Pd 2.32
P (0.5000, 0.5000, 0.0000)  2 Pd 2.32
Pd (0.5000, 0.5000, 0.5000)  6 P 2.32



Entry 4:
An optimized crystal structure of NaBePO4, computed with PBE-GGA.

Computed properties:
Total moment, μB/f.u.: 0.00
Uncorrected formation energy, eV/atom: -2.435
DOS at the Fermi energy, states/eV per cell: 0.00
Energy, eV per atom: -6.762
ΔE to the lowest computed polymorph, meV/atom: 32.7

Cell lengths 4.9269, 4.9269, 4.9269 Å; angles 121.31, 121.31, 87.74 degrees
Last column: nearest neighbours and their distance in Å.
Sites, in units of the cell vectors:
Na (0.0000, 0.0000, 0.0000)  4 O 2.37
Be (0.5000, 0.5000, 0.0000)  4 O 1.65
P (0.2500, 0.7500, 0.5000)  4 O 1.55
O (0.2575, 0.6320, 0.1457)  1 P 1.55, 1 Be 1.65
O (0.3680, 0.5137, 0.6255)  1 P 1.55, 1 Be 1.65
O (0.4863, 0.1118, 0.8543)  1 P 1.55, 1 Be 1.65
O (0.8882, 0.7425, 0.3745)  1 P 1.55, 1 Be 1.65



Entry 5:
An optimized crystal structure of TcSnPt3, computed with PBE-GGA.

Computed properties:
Total moment, μB/f.u.: 0.00
E_form, kJ per mole of atoms: 84.2
DOS at the Fermi energy, states/eV per cell: 4.45
Energy, eV per atom: -5.626
ΔE to the lowest computed polymorph, meV/atom: 0.0

Cell lengths 4.8439, 4.8439, 4.8439 Å; angles 90.00, 90.00, 90.00 degrees
Last column: nearest neighbours and their distance in Å.
Sites, in units of the cell vectors:
Tc (0.0000, 0.0000, 0.0000)  6 Pt 2.42
Sn (0.5000, 0.5000, 0.5000)  12 Pt 3.43
Pt (0.0000, 0.0000, 0.5000)  2 Tc 2.42
Pt (0.0000, 0.5000, 0.0000)  2 Tc 2.42
Pt (0.5000, 0.0000, 0.0000)  2 Tc 2.42



Entry 6:
An optimized crystal structure of Li2TbZn3, computed with PBE-GGA.

Computed properties:
Total moment, μB/f.u.: 0.00
E_form, kJ per mole of atoms: -16.1
DOS at the Fermi energy, states/eV per cell: 5.73
Energy, eV per atom: -2.214

Cell lengths 6.7606, 6.7606, 4.9095 Å; angles 90.00, 90.00, 87.68 degrees
Last column: nearest neighbours and their distance in Å.
Sites, in units of the cell vectors:
Li (0.2400, 0.2400, 0.0000)  2 Li 2.45, 4 Zn 2.68-2.70
Li (0.2400, 0.2400, 0.5000)  2 Li 2.45, 4 Zn 2.68-2.70
Li (0.7600, 0.7600, 0.0000)  2 Li 2.45, 4 Zn 2.68-2.70
Li (0.7600, 0.7600, 0.5000)  2 Li 2.45, 4 Zn 2.68-2.70
Tb (0.2711, 0.7289, 0.7500)  9 Zn 3.06-3.15
Tb (0.7289, 0.2711, 0.2500)  9 Zn 3.06-3.15
Zn (0.0599, 0.9401, 0.2500)  4 Zn 2.60-2.70, 4 Li 2.70
Zn (0.0706, 0.5552, 0.2500)  3 Zn 2.60-2.75, 4 Li 2.68-2.76
Zn (0.4448, 0.9294, 0.2500)  3 Zn 2.60-2.75, 4 Li 2.68-2.76
Zn (0.5552, 0.0706, 0.7500)  3 Zn 2.60-2.75, 4 Li 2.68-2.76
Zn (0.9294, 0.4448, 0.7500)  3 Zn 2.60-2.75, 4 Li 2.68-2.76
Zn (0.9401, 0.0599, 0.7500)  4 Zn 2.60-2.70, 4 Li 2.70



Entry 7:
An optimized crystal structure of TbCuAu11, computed with PBE-GGA.

Computed properties:
Total moment, μB/f.u.: 0.00
E_form, kJ per mole of atoms: -17.2
DOS at the Fermi energy, states/eV per cell: 4.28
Energy, eV per atom: -3.622

Cell lengths 7.3088, 7.3088, 7.1618 Å; angles 98.52, 98.52, 135.08 degrees
Last column: nearest neighbours and their distance in Å.
Sites, in units of the cell vectors:
Tb (0.0000, 0.0000, 0.0000)  14 Au 3.22-3.58, 2 Cu 3.59
Cu (0.5000, 0.5000, 0.5000)  10 Au 2.69-2.80
Au (0.0000, 0.0000, 0.5000)  8 Au 2.76-2.86, 2 Cu 2.79
Au (0.0000, 0.5000, 0.0000)  10 Au 2.77-2.95
Au (0.0183, 0.3511, 0.3490)  1 Cu 2.80, 6 Au 2.86-3.01
Au (0.2996, 0.5086, 0.7829)  1 Cu 2.69, 7 Au 2.76-2.98
Au (0.3511, 0.0183, 0.3490)  1 Cu 2.80, 6 Au 2.86-3.01
Au (0.4914, 0.7004, 0.2171)  1 Cu 2.69, 7 Au 2.76-2.98
Au (0.5000, 0.0000, 0.0000)  10 Au 2.77-2.95
Au (0.5086, 0.2996, 0.7829)  1 Cu 2.69, 7 Au 2.76-2.98
Au (0.6489, 0.9817, 0.6510)  1 Cu 2.80, 6 Au 2.86-3.01
Au (0.7004, 0.4914, 0.2171)  1 Cu 2.69, 7 Au 2.76-2.98
Au (0.9817, 0.6489, 0.6510)  1 Cu 2.80, 6 Au 2.86-3.01



Entry 8:
An optimized crystal structure of SrCeSn6, computed with PBE-GGA.

Computed properties:
Total moment, μB/f.u.: 0.63
E_form, kJ per mole of atoms: -43.9
DOS at the Fermi energy, states/eV per cell: 7.65
Energy, eV per atom: -4.409

Cell lengths 4.7783, 4.7783, 9.6646 Å; angles 90.00, 90.00, 90.00 degrees
Last column: nearest neighbours and their distance in Å.
Sites, in units of the cell vectors:
Sr (0.0000, 0.0000, 0.0000)  12 Sn 3.38-3.44
Ce (0.0000, 0.0000, 0.5000)  12 Sn 3.36-3.38
Sn (0.0000, 0.5000, 0.2556)  8 Sn 3.36-3.44, 2 Ce 3.36, 2 Sr 3.44
Sn (0.0000, 0.5000, 0.7444)  8 Sn 3.36-3.44, 2 Ce 3.36, 2 Sr 3.44
Sn (0.5000, 0.0000, 0.2556)  8 Sn 3.36-3.44, 2 Ce 3.36, 2 Sr 3.44
Sn (0.5000, 0.0000, 0.7444)  8 Sn 3.36-3.44, 2 Ce 3.36, 2 Sr 3.44
Sn (0.5000, 0.5000, 0.0000)  4 Sr 3.38, 8 Sn 3.44
Sn (0.5000, 0.5000, 0.5000)  8 Sn 3.36, 4 Ce 3.38



The highest DOS at the Fermi energy belongs to which entry? K3CO4